Computed, not measured: a relaxed Cu2PdO crystal at the GGA-PBE level of DFT.

Values from the calculation:
volume: 11.75 Å³/atom
uncorrected formation energy: -0.18 eV/atom

Unit cell a=2.840 b=2.840 c=6.928 alpha=78.17 beta=78.17 gamma=60.00
Positions (direct):
Cu  0.269  0.269  0.194
Cu  0.731  0.731  0.806
Pd  0.500  0.500  0.500
O  0.000  0.000  0.000